The following is a GGA-PBE calculation of a relaxed LiCu2Pb crystal, from Alexandria via LeMat-Bulk.

Cell: 5.580 9.366 3.027 Å, 90.00 120.43 90.00°
Element x y z (fractional)
1 Li 0.000 0.000 0.000
2 Li 0.500 0.500 0.000
3 Cu 0.250 0.250 0.500
4 Cu 0.250 0.750 0.500
5 Cu 0.750 0.250 0.500
6 Cu 0.750 0.750 0.500
7 Pb 0.000 0.500 0.000
8 Pb 0.500 0.000 0.000

Results
Space group: C2/m
Fermi-level density of states, states/eV per cell: 2.01
VASP energy, eV per atom: -3.29
Energy of formation, eV per atom: 0.166